# GGA-PBE BeCdB2Ir, optimized geometry
data_BeCdB2Ir
_cell_length_a 4.097
_cell_length_b 4.097
_cell_length_c 4.339
_cell_angle_alpha 90.00
_cell_angle_beta 90.00
_cell_angle_gamma 90.00
_space_group_name_H-M_alt 'P 4/m m m'
_space_group_IT_number 123
_space_group_name_Hall '-P 4 2'
loop_
_atom_site_label
_atom_site_fract_x
_atom_site_fract_y
_atom_site_fract_z
Be1 0.000 0.000 0.000
Cd1 0.000 0.000 0.500
B1 0.000 0.500 0.500
Ir1 0.500 0.500 0.000
# Total magnetic moment = 0.00 μB/atom
# Raw total energy = -3.137 eV/atom